[1]
VASP calculation (PBE) on a relaxed La2Sb3 crystal. Values from VASP.

Output
Formation energy without anion corrections in eV/atom: -0.920
Offset from the most stable computed form in eV per atom: 0.000

The structure in Quantum ESPRESSO input format:
```
&SYSTEM
  ibrav = 0, nat = 10, ntyp = 2
/
ATOMIC_SPECIES
La 138.91 La.upf
Sb 121.76 Sb.upf
CELL_PARAMETERS angstrom
0.000 4.561 8.314
4.170 0.000 8.314
4.170 4.561 0.000
ATOMIC_POSITIONS crystal
La 0.903 0.200 0.600
La 0.298 0.600 0.200
La 0.050 0.347 0.952
La 0.650 0.952 0.347
Sb 0.475 0.776 0.273
Sb 0.476 0.273 0.776
Sb 0.474 0.775 0.774
Sb 0.977 0.774 0.775
Sb 0.849 0.151 0.151
Sb 0.099 0.401 0.401
```

***

[2]
VASP calculation (PBE) on a relaxed CsMn2W2 crystal. Values from VASP.

Output
Formation energy in meV/atom: 1219

The structure in Quantum ESPRESSO input format:
```
&SYSTEM
  ibrav = 0, nat = 5, ntyp = 3
/
ATOMIC_SPECIES
Cs 132.91 Cs.upf
Mn 54.94 Mn.upf
W 183.84 W.upf
CELL_PARAMETERS angstrom
-0.456 3.737 0.805
-0.153 -0.828 3.757
7.521 2.301 2.787
ATOMIC_POSITIONS crystal
Cs 0.000 0.000 0.000
Mn 0.750 0.250 0.500
Mn 0.250 0.750 0.500
W 0.337 0.337 0.325
W 0.663 0.663 0.675
```

***

[3]
VASP calculation (PBE) on a relaxed Y13Sc3 crystal. Values from VASP.

Output
Formation energy in meV/atom: 19

The structure in Quantum ESPRESSO input format:
```
&SYSTEM
  ibrav = 0, nat = 16, ntyp = 2
/
ATOMIC_SPECIES
Y 88.91 Y.upf
Sc 44.96 Sc.upf
CELL_PARAMETERS angstrom
-4.620 3.314 -4.401
0.691 -6.276 -5.452
-6.392 -3.237 4.273
ATOMIC_POSITIONS crystal
Y 0.753 0.963 0.547
Y 0.751 0.538 0.462
Y 0.753 0.453 0.037
Y 0.000 0.711 0.795
Y 0.000 0.205 0.289
Y 0.000 0.794 0.206
Y 0.247 0.963 0.547
Y 0.249 0.538 0.462
Y 0.247 0.453 0.037
Y 0.500 0.289 0.711
Y 0.500 0.720 0.797
Y 0.500 0.203 0.280
Y 0.500 0.793 0.207
Sc 0.754 0.045 0.955
Sc 0.000 0.287 0.713
Sc 0.246 0.045 0.955
```